Here is a relaxed CdCoMoF6 crystal from the Alexandria database. Energies are from PBE with a Hubbard U.

Structure (CIF):
```
data_CdCoMoF6
_cell_length_a 5.5325
_cell_length_b 5.5325
_cell_length_c 9.9332
_cell_angle_alpha 90.00
_cell_angle_beta 90.00
_cell_angle_gamma 120.00
_space_group_name_H-M_alt 'P -3 1 c'
_space_group_IT_number 163
_space_group_name_Hall '-P 3 2c'
loop_
_atom_site_label
_atom_site_type_symbol
_atom_site_fract_x
_atom_site_fract_y
_atom_site_fract_z
Cd1 Cd 0.0000 0.0000 0.0000
Co1 Co 0.3333 0.6667 0.2500
Mo1 Mo 0.3333 0.6667 0.7500
F1 F 0.0114 0.3494 0.6329
```

Calculated values
Total DFT energy (no corrections): -86.0 eV/cell